Entry from Alexandria: a relaxed structure of Ge5Te8As2 (PBE).

Calculated values
V	27.944	Å³ per atom
space group	P-3m1, No. 164
offset from the most stable computed form	0	meV per atom
total magnetic moment	0.00	μB per formula unit
E_form (uncorrected)	-0.052	eV/atom
calculated total energy	-3.887	eV/atom

Structure (POSCAR):
```
Ge5Te8As2
1.0
4.193 0.000 0.000
-2.097 3.631 0.000
0.000 0.000 27.528
Ge Te As
5 8 2
direct
0.000 0.000 0.000
0.333 0.667 0.128
0.333 0.667 0.743
0.667 0.333 0.257
0.667 0.333 0.872
0.000 0.000 0.191
0.000 0.000 0.809
0.333 0.667 0.319
0.333 0.667 0.559
0.333 0.667 0.936
0.667 0.333 0.064
0.667 0.333 0.441
0.667 0.333 0.681
0.000 0.000 0.386
0.000 0.000 0.614
```